# KIrAu2S

KIrAu2S after structural relaxation (PBE, the Alexandria database).

Lattice parameters (Å, degrees): 5.367 5.367 4.342 90.00 90.00 90.00
Atoms (fractional coordinates):
K 0.000 0.000 0.000
Ir 0.500 0.500 0.500
Au 0.000 0.500 0.500
Au 0.500 0.000 0.500
S 0.500 0.500 0.000

Output
Formation energy from raw total energies, eV per atom: -0.028